PBE Y3Ga7Cu2, relaxed; calculated total energy = -4.59 eV per atom; calculated formation energy = -0.528 eV/atom; magnetization = 0.000 μB/atom
1.0
4.1873 0.0000 0.0000
0.0000 4.1825 0.0000
-2.0742 0.0000 13.0672
Y Ga Cu
3 7 2
direct
0.0000 0.0000 0.0000 Y
0.3159 0.5000 0.6314 Y
0.6841 0.5000 0.3686 Y
0.0826 0.5000 0.1691 Ga
0.2245 0.0000 0.4488 Ga
0.4156 0.0000 0.8303 Ga
0.5000 0.5000 0.0000 Ga
0.5844 0.0000 0.1697 Ga
0.7755 0.0000 0.5512 Ga
0.9174 0.5000 0.8309 Ga
0.1323 0.0000 0.2664 Cu
0.8677 0.0000 0.7336 Cu